Here is a relaxed structure of SiNiOsN2 from Alexandria via LeMat-Bulk. Energies are from PBE-GGA.

```
data_SiNiOsN2
_cell_length_a 3.4899
_cell_length_b 5.3584
_cell_length_c 3.4899
_cell_angle_alpha 90.00
_cell_angle_beta 90.00
_cell_angle_gamma 90.00
_space_group_name_H-M_alt 'P 1'
_space_group_IT_number 1
loop_
_space_group_symop_operation_xyz
'x,y,z'
loop_
_atom_site_label
_atom_site_fract_x
_atom_site_fract_y
_atom_site_fract_z
Ni1 0.0000 0.0000 0.0000
Si1 0.5000 0.5000 0.5000
Os1 0.0000 0.5000 0.0000
N1 0.0000 0.0000 0.5000
N2 0.5000 0.0000 0.0000
```

Output
The uncorrected formation energy is 1.5002 eV/atom. The calculation puts the total magnetization at 1.370 μB/f.u.